Record 1
Density functional theory data (PBE) for a relaxed structure of AcTbPb2.

The space group is P4/mmm (No. 123) and the conventional cell measures 5.2790, 5.2790 and 4.6337 Å, with angles of 90.00, 90.00 and 90.00 degrees. The inequivalent atoms are Ac at (0.0000, 0.0000, 0.0000), Tb at (0.5000, 0.5000, 0.0000) and Pb at (0.0000, 0.5000, 0.5000).

The total moment is 0.00 μB/f.u. The formation energy comes out at -41 kJ/mol of atoms.

---

Record 2
Density functional theory data (PBE) for a relaxed structure of Ac2TbPb.

The space group is P4/mmm (No. 123) and the conventional cell measures 4.4918, 4.4918 and 7.3462 Å, with angles of 90.00, 90.00 and 90.00 degrees. The inequivalent atoms are Ac at (0.0000, 0.0000, 0.2339), Tb at (0.5000, 0.5000, 0.5000) and Pb at (0.5000, 0.5000, 0.0000).

The offset from the most stable computed form comes out at 4.2 kJ/mol of atoms. The total moment is 0.00 μB/f.u. The formation energy comes out at -18 kJ/mol of atoms.

---

Record 3
Density functional theory data (PBE) for a relaxed structure of AcTbPb.

The space group is P4/nmm (No. 129, origin choice 2) and the conventional cell measures 4.8610, 4.8610 and 8.9923 Å, with angles of 90.00, 90.00 and 90.00 degrees. The inequivalent atoms are Ac at (0.2500, 0.2500, 0.1484), Tb at (0.2500, 0.7500, 0.5000) and Pb at (0.2500, 0.2500, 0.7512).

The offset from the most stable computed form comes out at 3.0 kJ/mol of atoms. The total moment is 1.20 μB/f.u. The formation energy comes out at -41 kJ/mol of atoms.

---

| no. | volume (Å³ per atom) |
| --- | --- |
| 1 | 32.28 |
| 2 | 37.05 |
| 3 | 35.41 |